1.
# Re3RuBr

An optimized crystal structure of Re3RuBr (PBE, the Alexandria database).

excess energy over the best structure of this formula in the dataset: 0.00 kJ per mole of atoms
uncorrected formation energy: 2.454 eV per atom
size of the total moment: 3.3 Bohr magnetons per cell

Unit cell a=4.758 b=4.758 c=4.758 alpha=90.00 beta=90.00 gamma=90.00
Space group Pm-3m (No. 221)
Unique sites:
Re (0.000, 0.000, 0.500) (multiplicity 3)
Ru (0.000, 0.000, 0.000) (multiplicity 1)
Br (0.500, 0.500, 0.500) (multiplicity 1)

***

2.
# NdGdC2

An optimized crystal structure of NdGdC2 (PBE, the Alexandria database).

E_form: 0.23 eV/atom
size of the total moment: 20.5 Bohr magnetons per cell

Unit cell a=3.7080 b=3.7080 c=18.1628 alpha=90.00 beta=90.00 gamma=120.00
Space group R-3m (No. 166, hexagonal axes)
Unique sites:
Nd (0.0000, 0.0000, 0.0000) (multiplicity 3)
Gd (0.0000, 0.0000, 0.5000) (multiplicity 3)
C (0.0000, 0.0000, 0.2461) (multiplicity 6)

***

3.
# PaZnAs2

An optimized crystal structure of PaZnAs2 (PBE, the Alexandria database).

excess energy over the best structure of this formula in the dataset: 36.13 kJ per mole of atoms
E_form: -0.28 eV/atom
size of the total moment: 3.0 Bohr magnetons per cell

Unit cell a=4.3236 b=4.3236 c=22.8582 alpha=90.00 beta=90.00 gamma=120.00
Space group R-3m (No. 166, hexagonal axes)
Unique sites:
Pa (0.0000, 0.0000, 0.0000) (multiplicity 3)
Zn (0.0000, 0.0000, 0.5000) (multiplicity 3)
As (0.0000, 0.0000, 0.3972) (multiplicity 6)